No. 1
Computed, not measured: an optimized crystal structure of PuNb2N4 at the PBE-GGA level of DFT.

## Properties
For the total energy, the calculation gives -10.734 eV/atom. The value obtained for the density is 9.7 g cm⁻³. As for the magnetic moment: 4.71 μB per formula unit. The space-group type is No. 63.

abc: 5.362 5.362 10.309
angles: 90.00 90.00 145.83
Positions (direct):
N  0.000  0.000  0.000
N  0.733  0.267  0.118
N  0.444  0.556  0.250
N  0.733  0.267  0.382
N  0.000  0.000  0.500
N  0.267  0.733  0.618
N  0.556  0.444  0.750
N  0.267  0.733  0.882
Nb  0.371  0.629  0.065
Nb  0.371  0.629  0.435
Nb  0.629  0.371  0.565
Nb  0.629  0.371  0.935
Pu  0.113  0.887  0.250
Pu  0.887  0.113  0.750

---

No. 2
Computed, not measured: an optimized crystal structure of HoTlGa at the PBE-GGA level of DFT.

## Properties
For the total energy, the calculation gives -3.685 eV/atom. The value obtained for the density is 10.1 g cm⁻³. As for the magnetic moment: 0.00 μB per formula unit. The space-group type is No. 65.

abc: 7.549 7.549 4.534
angles: 90.00 90.00 146.08
Positions (direct):
Ga  0.689  0.311  0.000
Ga  0.311  0.689  0.000
Ho  0.840  0.160  0.500
Ho  0.160  0.840  0.500
Tl  0.000  0.000  0.000
Tl  0.500  0.500  0.500

---

No. 3
Computed, not measured: an optimized crystal structure of LiPtNO at the PBE-GGA level of DFT.

## Properties
For the total energy, the calculation gives -5.365 eV/atom. The value obtained for the density is 8.0 g cm⁻³. As for the magnetic moment: 0.00 μB per formula unit. The space-group type is No. 26.

abc: 3.165 5.825 5.193
angles: 90.00 90.00 90.00
Positions (direct):
Li  0.000  0.217  0.493
Li  0.000  0.783  0.993
N  0.000  0.876  0.394
N  0.000  0.124  0.894
O  0.500  0.374  0.383
O  0.500  0.626  0.883
Pt  0.500  0.715  0.484
Pt  0.500  0.285  0.984

---

No. 4
Computed, not measured: an optimized crystal structure of RbZrAlTe3 at the PBE-GGA level of DFT.

## Properties
For the total energy, the calculation gives -4.436 eV/atom. The value obtained for the density is 4.8 g cm⁻³. As for the magnetic moment: 1.79 μB per formula unit. The space-group type is No. 63.

abc: 8.854 8.854 11.201
angles: 90.00 90.00 152.59
Positions (direct):
Al  0.966  0.034  0.250
Al  0.034  0.966  0.750
Rb  0.253  0.747  0.250
Rb  0.747  0.253  0.750
Te  0.880  0.120  0.055
Te  0.567  0.433  0.250
Te  0.880  0.120  0.445
Te  0.120  0.880  0.555
Te  0.433  0.567  0.750
Te  0.120  0.880  0.945
Zr  0.500  0.500  0.000
Zr  0.500  0.500  0.500

---

No. 5
Computed, not measured: an optimized crystal structure of InNiAuS3 at the PBE-GGA level of DFT.

## Properties
For the total energy, the calculation gives -4.209 eV/atom. The value obtained for the density is 6.8 g cm⁻³. As for the magnetic moment: 0.00 μB per formula unit. The space-group type is No. 63.

abc: 6.774 6.774 9.915
angles: 90.00 90.00 30.22
Positions (direct):
Au  0.844  0.844  0.250
Au  0.156  0.156  0.750
In  0.176  0.176  0.250
In  0.824  0.824  0.750
Ni  0.500  0.500  0.000
Ni  0.500  0.500  0.500
S  0.887  0.887  0.016
S  0.531  0.531  0.250
S  0.887  0.887  0.484
S  0.113  0.113  0.516
S  0.469  0.469  0.750
S  0.113  0.113  0.984

---

No. 6
Computed, not measured: an optimized crystal structure of Na3Tb2SmPb3 at the PBE-GGA level of DFT.

## Properties
For the total energy, the calculation gives -3.460 eV/atom. The value obtained for the density is 7.7 g cm⁻³. As for the magnetic moment: 0.02 μB per formula unit. The space-group type is No. 187.

abc: 5.222 5.222 10.587
angles: 90.00 90.00 120.00
Positions (direct):
Na  0.667  0.333  0.185
Na  0.333  0.667  0.500
Na  0.667  0.333  0.815
Pb  0.333  0.667  0.160
Pb  0.667  0.333  0.500
Pb  0.333  0.667  0.840
Sm  0.000  0.000  0.000
Tb  0.000  0.000  0.335
Tb  0.000  0.000  0.665

---

No. 7
Computed, not measured: an optimized crystal structure of DyThNp at the PBE-GGA level of DFT.

## Properties
For the total energy, the calculation gives -7.144 eV/atom. The value obtained for the density is 10.5 g cm⁻³. Its formation enthalpy at 0 K is 1117 meV/atom. As for the magnetic moment: 5.97 μB per formula unit. The space-group type is No. 216.

abc: 5.211 5.211 5.211
angles: 60.00 60.00 60.00
Positions (direct):
Dy  0.250  0.250  0.250
Np  0.750  0.750  0.750
Th  0.000  0.000  0.000

---

No. 8
Computed, not measured: an optimized crystal structure of DyScCSe at the PBE-GGA level of DFT.

## Properties
For the total energy, the calculation gives -7.045 eV/atom. The value obtained for the density is 6.7 g cm⁻³. As for the magnetic moment: 0.00 μB per formula unit. The space-group type is No. 187.

abc: 3.639 3.639 12.817
angles: 90.00 90.00 120.00
Positions (direct):
C  0.000  0.000  0.237
C  0.000  0.000  0.763
Dy  0.333  0.667  0.342
Dy  0.333  0.667  0.658
Sc  0.667  0.333  0.144
Sc  0.667  0.333  0.856
Se  0.333  0.667  0.000
Se  0.667  0.333  0.500